[1]
The following is a DFT calculation (PBEsol) of a relaxed Sr2HgAsI crystal.

Summary:
VASP energy: -0.1600 Ry per atom
DOS(E_F): 5.9 states/eV per cell

Structure (CIF):
```
data_Sr2HgAsI
_chemical_formula_sum 'Sr2 Hg1 As1 I1'
_cell_length_a 6.078
_cell_length_b 6.078
_cell_length_c 5.454
_cell_angle_alpha 90.00
_cell_angle_beta 90.00
_cell_angle_gamma 90.00
_symmetry_space_group_name_H-M 'P 1'
_symmetry_Int_Tables_number 1
loop_
_symmetry_equiv_pos_as_xyz
'x,y,z'
loop_
_atom_site_label
_atom_site_fract_x
_atom_site_fract_y
_atom_site_fract_z
Sr1 0.000 0.500 0.000
Sr2 0.500 0.000 0.000
Hg1 0.000 0.000 0.000
As1 0.500 0.500 0.500
I1 0.000 0.000 0.500
```



[2]
The following is a DFT calculation (PBEsol) of a relaxed Li3VBPO7 crystal.

Summary:
VASP energy: -0.5360 Ry per atom
DOS(E_F): 11.5 states/eV per cell

Structure (CIF):
```
data_Li3VBPO7
_chemical_formula_sum 'Li6 V2 B2 P2 O14'
_cell_length_a 4.980
_cell_length_b 6.293
_cell_length_c 8.335
_cell_angle_alpha 90.00
_cell_angle_beta 95.80
_cell_angle_gamma 90.00
_symmetry_space_group_name_H-M 'P 1'
_symmetry_Int_Tables_number 1
loop_
_symmetry_equiv_pos_as_xyz
'x,y,z'
loop_
_atom_site_label
_atom_site_fract_x
_atom_site_fract_y
_atom_site_fract_z
Li1 0.232 0.250 0.095
Li2 0.260 0.001 0.759
Li3 0.260 0.499 0.759
Li4 0.740 0.501 0.241
Li5 0.740 0.999 0.241
Li6 0.768 0.750 0.905
V1 0.212 0.750 0.317
V2 0.788 0.250 0.683
B1 0.300 0.750 0.038
B2 0.700 0.250 0.962
P1 0.270 0.250 0.420
P2 0.730 0.750 0.580
O1 0.039 0.750 0.085
O2 0.136 0.250 0.578
O3 0.175 0.060 0.309
O4 0.175 0.440 0.309
O5 0.371 0.750 0.886
O6 0.421 0.750 0.542
O7 0.495 0.750 0.174
O8 0.505 0.250 0.826
O9 0.579 0.250 0.458
O10 0.629 0.250 0.114
O11 0.825 0.560 0.691
O12 0.825 0.940 0.691
O13 0.864 0.750 0.422
O14 0.961 0.250 0.915
```



[3]
The following is a DFT calculation (PBEsol) of a relaxed YAs3Pt crystal.

Summary:
VASP energy: -0.3457 Ry per atom
DOS(E_F): 5.6 states/eV per cell

Structure (CIF):
```
data_YAs3Pt
_chemical_formula_sum 'Y1 As3 Pt1'
_cell_length_a 5.201
_cell_length_b 5.201
_cell_length_c 5.201
_cell_angle_alpha 90.00
_cell_angle_beta 90.00
_cell_angle_gamma 90.00
_symmetry_space_group_name_H-M 'P 1'
_symmetry_Int_Tables_number 1
loop_
_symmetry_equiv_pos_as_xyz
'x,y,z'
loop_
_atom_site_label
_atom_site_fract_x
_atom_site_fract_y
_atom_site_fract_z
Y1 0.000 0.000 0.000
As1 0.000 0.000 0.500
As2 0.000 0.500 0.000
As3 0.500 0.000 0.000
Pt1 0.500 0.500 0.500
```



[4]
The following is a DFT calculation (PBEsol) of a relaxed PdPtCl2 crystal.

Summary:
VASP energy: -0.2858 Ry per atom
DOS(E_F): 4.5 states/eV per cell

Structure (CIF):
```
data_PdPtCl2
_chemical_formula_sum 'Pd1 Pt1 Cl2'
_cell_length_a 8.095
_cell_length_b 8.095
_cell_length_c 8.095
_cell_angle_alpha 23.46
_cell_angle_beta 23.46
_cell_angle_gamma 23.46
_symmetry_space_group_name_H-M 'P 1'
_symmetry_Int_Tables_number 1
loop_
_symmetry_equiv_pos_as_xyz
'x,y,z'
loop_
_atom_site_label
_atom_site_fract_x
_atom_site_fract_y
_atom_site_fract_z
Pd1 0.000 0.000 0.000
Pt1 0.500 0.500 0.500
Cl1 0.096 0.096 0.096
Cl2 0.904 0.904 0.904
```



[5]
The following is a DFT calculation (PBEsol) of a relaxed MgSb2P crystal.

Summary:
VASP energy: -0.3036 Ry per atom
DOS(E_F): 1.7 states/eV per cell

Structure (CIF):
```
data_MgSb2P
_chemical_formula_sum 'Mg1 Sb2 P1'
_cell_length_a 7.711
_cell_length_b 7.711
_cell_length_c 7.711
_cell_angle_alpha 28.71
_cell_angle_beta 28.71
_cell_angle_gamma 28.71
_symmetry_space_group_name_H-M 'P 1'
_symmetry_Int_Tables_number 1
loop_
_symmetry_equiv_pos_as_xyz
'x,y,z'
loop_
_atom_site_label
_atom_site_fract_x
_atom_site_fract_y
_atom_site_fract_z
Mg1 0.000 0.000 0.000
Sb1 0.241 0.241 0.241
Sb2 0.759 0.759 0.759
P1 0.500 0.500 0.500
```



[6]
The following is a DFT calculation (PBEsol) of a relaxed CrOs5 crystal.

Summary:
VASP energy: -0.8743 Ry per atom
DOS(E_F): 5.1 states/eV per cell

Structure (CIF):
```
data_CrOs5
_chemical_formula_sum 'Cr1 Os5'
_cell_length_a 4.688
_cell_length_b 4.688
_cell_length_c 4.271
_cell_angle_alpha 90.00
_cell_angle_beta 90.00
_cell_angle_gamma 120.00
_symmetry_space_group_name_H-M 'P 1'
_symmetry_Int_Tables_number 1
loop_
_symmetry_equiv_pos_as_xyz
'x,y,z'
loop_
_atom_site_label
_atom_site_fract_x
_atom_site_fract_y
_atom_site_fract_z
Cr1 0.000 0.000 0.000
Os1 0.000 0.329 0.500
Os2 0.329 0.000 0.500
Os3 0.333 0.667 0.000
Os4 0.667 0.333 0.000
Os5 0.671 0.671 0.500
```



[7]
The following is a DFT calculation (PBEsol) of a relaxed ZnHgAs2 crystal.

Summary:
VASP energy: -0.2214 Ry per atom
DOS(E_F): 0.9 states/eV per cell

Structure (CIF):
```
data_ZnHgAs2
_chemical_formula_sum 'Zn1 Hg1 As2'
_cell_length_a 4.255
_cell_length_b 4.255
_cell_length_c 6.208
_cell_angle_alpha 107.47
_cell_angle_beta 107.47
_cell_angle_gamma 51.50
_symmetry_space_group_name_H-M 'P 1'
_symmetry_Int_Tables_number 1
loop_
_symmetry_equiv_pos_as_xyz
'x,y,z'
loop_
_atom_site_label
_atom_site_fract_x
_atom_site_fract_y
_atom_site_fract_z
Zn1 0.000 0.000 0.000
Hg1 0.803 0.803 0.268
As1 0.233 0.233 0.809
As2 0.592 0.592 0.522
```



[8]
The following is a DFT calculation (PBEsol) of a relaxed LaY2Re crystal.

Summary:
VASP energy: -0.5673 Ry per atom
DOS(E_F): 5.5 states/eV per cell

Structure (CIF):
```
data_LaY2Re
_chemical_formula_sum 'La1 Y2 Re1'
_cell_length_a 5.109
_cell_length_b 5.109
_cell_length_c 5.109
_cell_angle_alpha 60.00
_cell_angle_beta 60.00
_cell_angle_gamma 60.00
_symmetry_space_group_name_H-M 'P 1'
_symmetry_Int_Tables_number 1
loop_
_symmetry_equiv_pos_as_xyz
'x,y,z'
loop_
_atom_site_label
_atom_site_fract_x
_atom_site_fract_y
_atom_site_fract_z
La1 0.000 0.000 0.000
Y1 0.250 0.250 0.250
Y2 0.750 0.750 0.750
Re1 0.500 0.500 0.500
```